# 1
Entry from Alexandria: an optimized crystal structure of RbZn2BiCl8 (PBE-GGA).

Output
Final energy, eV/atom: -3.068

Lattice parameters (Å, degrees): 6.5206 6.5206 10.7074 72.27 72.27 60.00
Positions (direct):
Rb  0.5000  0.5000  0.5000
Zn  0.2525  0.2525  0.2426
Zn  0.7475  0.7475  0.7574
Bi  0.0000  0.0000  0.0000
Cl  0.1790  0.1790  0.4630
Cl  0.6091  0.2891  0.1620
Cl  0.8210  0.8210  0.5370
Cl  0.9399  0.6091  0.1620
Cl  0.0601  0.3909  0.8380
Cl  0.2891  0.9399  0.1620
Cl  0.7109  0.0601  0.8380
Cl  0.3909  0.7109  0.8380

# 2
Entry from Alexandria: an optimized crystal structure of Rb2ZrBiCl6 (PBE-GGA).

Output
Final energy, eV/atom: -3.931

Lattice parameters (Å, degrees): 7.6034 7.6034 8.3444 62.90 62.90 90.00
Each line ends with the local moment (μB).
Positions (direct):
Rb  0.7500  0.2500  0.5000  0.00
Rb  0.2500  0.7500  0.5000  0.00
Bi  0.0000  0.0000  0.0000  0.18
Zr  0.5000  0.5000  0.0000  0.49
Cl  0.3020  0.3020  0.3961  -0.01
Cl  0.6980  0.6980  0.6039  -0.01
Cl  0.2644  0.2644  0.0000  0.00
Cl  0.7356  0.7356  0.0000  0.00
Cl  0.7356  0.2644  0.0000  0.00
Cl  0.2644  0.7356  0.0000  0.00

# 3
Entry from Alexandria: an optimized crystal structure of Re3BiCl (PBE-GGA).

Output
Energy relative to the lowest polymorph listed for this composition, meV/atom: 1468

Lattice parameters (Å, degrees): 5.2253 5.2253 5.2253 90.00 90.00 90.00
Each line ends with the local moment (μB).
Positions (direct):
Re  0.0000  0.5000  0.0000  2.36
Re  0.0000  0.0000  0.5000  2.47
Re  0.5000  0.0000  0.0000  2.20
Bi  0.0000  0.0000  0.0000  -0.10
Cl  0.5000  0.5000  0.5000  0.28

# 4
Entry from Alexandria: an optimized crystal structure of Re3BiCl (PBE-GGA).

Output
Energy relative to the lowest polymorph listed for this composition, meV/atom: 0

Lattice parameters (Å, degrees): 4.5046 4.5046 4.5046 90.00 90.00 90.00
Each line ends with the local moment (μB).
Positions (direct):
Re  0.0000  0.5000  0.0000  0.33
Re  0.0000  0.0000  0.5000  0.26
Re  0.5000  0.0000  0.0000  0.40
Bi  0.5000  0.5000  0.5000  -0.03
Cl  0.0000  0.0000  0.0000  0.00